Here is a relaxed structure of Ga4Ag from the Alexandria database. Energies are from PBE.

Results
**VASP energy**: -29.7 eV/cell
**Magnetization**: 0.00 μB per formula unit
**Crystal system**: orthorhombic
**Offset from the most stable computed form**: 0 meV per atom
**E_form**: 0.09 eV/f.u.
**Space-group type**: No. 74

Structure (CIF):
```
data_Ga4Ag
_chemical_formula_sum 'Ga8 Ag2'
_cell_length_a 3.234
_cell_length_b 5.499
_cell_length_c 10.888
_cell_angle_alpha 104.63
_cell_angle_beta 98.54
_cell_angle_gamma 90.00
_symmetry_space_group_name_H-M 'P 1'
_symmetry_Int_Tables_number 1
_symmetry_space_group_name_Hall 'P 1'
loop_
_atom_site_label
_atom_site_fract_x
_atom_site_fract_y
_atom_site_fract_z
_atom_site_occupancy
Ga1 0.100 0.350 0.200 1
Ga2 0.900 0.650 0.800 1
Ga3 0.500 0.000 0.000 1
Ga4 0.500 0.500 0.000 1
Ga5 0.696 0.195 0.392 1
Ga6 0.304 0.805 0.608 1
Ga7 0.304 0.303 0.608 1
Ga8 0.696 0.697 0.392 1
Ag1 0.901 0.151 0.801 1
Ag2 0.099 0.849 0.199 1
```